# La12ThCd3

Crystalline La12ThCd3 at its relaxed geometry (PBE-GGA, Alexandria).

POSCAR file:
```
La12ThCd3
1.0
5.105 0.000 0.000
0.000 5.105 0.000
0.000 0.000 20.360
La Th Cd
12 1 3
direct
0.000 0.000 0.000
0.000 0.000 0.247
0.000 0.000 0.500
0.000 0.000 0.753
0.000 0.500 0.124
0.000 0.500 0.375
0.000 0.500 0.625
0.000 0.500 0.876
0.500 0.000 0.124
0.500 0.000 0.375
0.500 0.000 0.625
0.500 0.000 0.876
0.500 0.500 0.500
0.500 0.500 0.000
0.500 0.500 0.246
0.500 0.500 0.754
```

## Properties
**SG**: P4/mmm (123)
**Formation energy from the elements**: -0.09 eV per atom